a | First-principles (PBE-GGA) data for crystalline Ca2ZrMo at its relaxed geometry, as listed in the Alexandria database.

Cell: 5.9119 11.0631 3.0389 Å, 90.00 104.72 90.00°
Closest atoms and distances in Å follow each position.
Space group C2/m (No. 12)
Symmetry-distinct sites (fractional):
Ca (0.2500, 0.2500, 0.0000) (multiplicity 4)  4 Ca 2.96-3.04
Zr (0.0000, 0.0000, 0.5000) (multiplicity 2)  2 Mo 2.96, 2 Zr 3.04
Mo (0.0000, 0.5000, 0.5000) (multiplicity 2)  2 Zr 2.96, 2 Mo 3.04

DOS at the Fermi energy = 10.83 states/eV per cell
volume = 192.23 Å³/cell



b | First-principles (PBE-GGA) data for crystalline Ca2ZrMo at its relaxed geometry, as listed in the Alexandria database.

Cell: 4.2427 4.2427 5.3461 Å, 90.00 90.00 90.00°
Closest atoms and distances in Å follow each position.
Space group P4/mmm (No. 123)
Symmetry-distinct sites (fractional):
Ca (0.0000, 0.5000, 0.0000) (multiplicity 2)  4 Ca 3.00
Zr (0.0000, 0.0000, 0.5000) (multiplicity 1)  4 Mo 3.00
Mo (0.5000, 0.5000, 0.5000) (multiplicity 1)  4 Zr 3.00

DOS at the Fermi energy = 7.26 states/eV per cell
volume = 96.23 Å³/cell



Energetically preferred structure: b | next structure: +3.0 kJ/mol of atoms



a | First-principles (PBE-GGA) data for crystalline CaZr2Mo at its relaxed geometry, as listed in the Alexandria database.

Cell: 3.1184 4.7919 6.4671 Å, 90.00 101.61 90.00°
Closest atoms and distances in Å follow each position.
Space group Pm (No. 6)
Symmetry-distinct sites (fractional):
Ca (0.0000, 0.0000, 0.0000) (multiplicity 1)  2 Ca 3.12, 2 Mo 3.19, 2 Zr 3.21-3.36
Zr (0.3599, 0.5000, 0.6806) (multiplicity 1)  1 Mo 2.64
Zr (0.8057, 0.0000, 0.4691) (multiplicity 1)  2 Mo 2.79, 4 Zr 3.11-3.12
Mo (0.4672, 0.5000, 0.2855) (multiplicity 1)  3 Zr 2.64-2.79

DOS at the Fermi energy = 4.06 states/eV per cell
volume = 94.66 Å³/cell



b | First-principles (PBE-GGA) data for crystalline CaZr2Mo at its relaxed geometry, as listed in the Alexandria database.

Cell: 3.5081 5.3629 10.1592 Å, 90.00 90.00 90.00°
Closest atoms and distances in Å follow each position.
Space group Cmmm (No. 65)
Symmetry-distinct sites (fractional):
Ca (0.0000, 0.0000, 0.0000) (multiplicity 2)  6 Ca 3.20-3.51, 4 Zr 3.51
Zr (0.0000, 0.5000, 0.2994) (multiplicity 4)  2 Mo 2.69
Mo (0.0000, 0.0000, 0.5000) (multiplicity 2)  4 Zr 2.69

DOS at the Fermi energy = 10.84 states/eV per cell
volume = 191.13 Å³/cell



Energetically preferred structure: b | next structure: +12.4 kJ/mol of atoms



a | First-principles (PBE-GGA) data for crystalline CaZr2Mo at its relaxed geometry, as listed in the Alexandria database.

Cell: 8.8567 3.2153 6.8947 Å, 90.00 95.40 90.00°
Closest atoms and distances in Å follow each position.
Space group C2/m (No. 12)
Symmetry-distinct sites (fractional):
Ca (0.0000, 0.0000, 0.0000) (multiplicity 2)  6 Zr 3.11-3.46, 2 Ca 3.22
Zr (0.2312, 0.0000, 0.6870) (multiplicity 4)  3 Mo 2.81-2.82, 2 Zr 3.08, 1 Ca 3.11
Mo (0.0000, 0.5000, 0.5000) (multiplicity 2)  6 Zr 2.81-2.82

DOS at the Fermi energy = 6.14 states/eV per cell
volume = 195.47 Å³/cell



b | First-principles (PBE-GGA) data for crystalline CaZr2Mo at its relaxed geometry, as listed in the Alexandria database.

Cell: 3.1731 4.4525 6.8037 Å, 90.00 101.02 90.00°
Closest atoms and distances in Å follow each position.
Space group P2/m (No. 10)
Symmetry-distinct sites (fractional):
Ca (0.0000, 0.0000, 0.0000) (multiplicity 1)  2 Ca 3.17, 8 Zr 3.28-3.53, 2 Mo 3.47
Zr (0.2913, 0.5000, 0.6972) (multiplicity 2)  2 Mo 2.74, 1 Zr 2.95
Mo (0.5000, 0.0000, 0.5000) (multiplicity 1)  4 Zr 2.74

DOS at the Fermi energy = 5.14 states/eV per cell
volume = 94.35 Å³/cell



Energetically preferred structure: b | next structure: +5.2 kJ/mol of atoms



a | First-principles (PBE-GGA) data for crystalline CaZr2Mo at its relaxed geometry, as listed in the Alexandria database.

Cell: 6.0206 6.0330 9.7476 Å, 90.00 90.00 90.00°
Closest atoms and distances in Å follow each position.
Space group F222 (No. 22)
Symmetry-distinct sites (fractional):
Ca (0.0000, 0.0000, 0.0000) (multiplicity 4)  8 Zr 3.01-3.24, 4 Mo 3.24
Zr (0.0000, 0.0000, 0.5000) (multiplicity 4)  4 Ca 3.01-3.02, 4 Zr 3.24, 4 Mo 3.24
Zr (0.2500, 0.2500, 0.7500) (multiplicity 4)  4 Mo 3.01-3.02, 4 Zr 3.24, 4 Ca 3.24
Mo (0.2500, 0.2500, 0.2500) (multiplicity 4)  8 Zr 3.01-3.24, 4 Ca 3.24

DOS at the Fermi energy = 18.78 states/eV per cell
volume = 354.06 Å³/cell



b | First-principles (PBE-GGA) data for crystalline CaZr2Mo at its relaxed geometry, as listed in the Alexandria database.

Cell: 4.3067 4.3067 20.4306 Å, 90.00 90.00 90.00°
Closest atoms and distances in Å follow each position.
Space group I-42d (No. 122)
Symmetry-distinct sites (fractional):
Ca (0.0000, 0.0000, 0.0000) (multiplicity 4)  4 Zr 3.02, 4 Mo 3.05
Zr (0.2235, 0.2500, 0.6250) (multiplicity 8)  4 Zr 2.89-3.21, 2 Mo 2.93, 2 Ca 3.02
Mo (0.0000, 0.0000, 0.5000) (multiplicity 4)  4 Zr 2.93, 4 Ca 3.05

DOS at the Fermi energy = 17.50 states/eV per cell
volume = 378.94 Å³/cell



c | First-principles (PBE-GGA) data for crystalline CaZr2Mo at its relaxed geometry, as listed in the Alexandria database.

Cell: 3.3863 3.3863 8.7606 Å, 90.00 90.00 90.00°
Closest atoms and distances in Å follow each position.
Space group P4/mmm (No. 123)
Symmetry-distinct sites (fractional):
Ca (0.0000, 0.0000, 0.0000) (multiplicity 1)  4 Ca 3.39, 8 Zr 3.71
Zr (0.5000, 0.5000, 0.3241) (multiplicity 2)  4 Mo 2.85, 1 Zr 3.08
Mo (0.0000, 0.0000, 0.5000) (multiplicity 1)  8 Zr 2.85

DOS at the Fermi energy = 4.32 states/eV per cell
volume = 100.46 Å³/cell



Energetically preferred structure: c | next structure: +40.6 kJ/mol of atoms



a | First-principles (PBE-GGA) data for crystalline CaZr2Mo at its relaxed geometry, as listed in the Alexandria database.

Cell: 3.6415 3.6415 7.3463 Å, 90.00 90.00 90.00°
Closest atoms and distances in Å follow each position.
Space group P4mm (No. 99)
Symmetry-distinct sites (fractional):
Ca (0.0000, 0.0000, 0.0000) (multiplicity 1)  5 Zr 3.27-3.57, 4 Mo 3.33, 4 Ca 3.64
Zr (0.0000, 0.0000, 0.4452) (multiplicity 1)  4 Mo 2.82, 4 Zr 3.03
Zr (0.5000, 0.5000, 0.6628) (multiplicity 1)  1 Mo 2.76, 4 Zr 3.03
Mo (0.5000, 0.5000, 0.2872) (multiplicity 1)  5 Zr 2.76-2.82

DOS at the Fermi energy = 5.35 states/eV per cell
volume = 97.42 Å³/cell



b | First-principles (PBE-GGA) data for crystalline CaZr2Mo at its relaxed geometry, as listed in the Alexandria database.

Cell: 7.0895 7.0895 7.0895 Å, 90.00 90.00 90.00°
Closest atoms and distances in Å follow each position.
Space group F-43m (No. 216)
Symmetry-distinct sites (fractional):
Ca (0.0000, 0.0000, 0.0000) (multiplicity 4)  4 Zr 3.07, 4 Mo 3.07
Zr (0.0000, 0.0000, 0.5000) (multiplicity 4)  4 Zr 3.07, 4 Mo 3.07
Zr (0.2500, 0.2500, 0.2500) (multiplicity 4)  4 Zr 3.07, 4 Ca 3.07
Mo (0.2500, 0.2500, 0.7500) (multiplicity 4)  4 Zr 3.07, 4 Ca 3.07

DOS at the Fermi energy = 20.13 states/eV per cell
volume = 356.33 Å³/cell



c | First-principles (PBE-GGA) data for crystalline CaZr2Mo at its relaxed geometry, as listed in the Alexandria database.

Cell: 4.8304 4.8304 3.7739 Å, 90.00 90.00 90.00°
Closest atoms and distances in Å follow each position.
Space group P4/mmm (No. 123)
Symmetry-distinct sites (fractional):
Ca (0.0000, 0.0000, 0.0000) (multiplicity 1)  8 Zr 3.06, 4 Mo 3.42
Zr (0.0000, 0.5000, 0.5000) (multiplicity 2)  4 Mo 3.06, 4 Ca 3.06, 4 Zr 3.42
Mo (0.5000, 0.5000, 0.0000) (multiplicity 1)  8 Zr 3.06, 4 Ca 3.42

DOS at the Fermi energy = 6.31 states/eV per cell
volume = 88.05 Å³/cell



Energetically preferred structure: a | next structure: +16.4 kJ/mol of atoms



a | First-principles (PBE-GGA) data for crystalline CaZr2Mo at its relaxed geometry, as listed in the Alexandria database.

Cell: 2.9706 2.9706 10.2671 Å, 90.00 90.00 90.00°
Closest atoms and distances in Å follow each position.
Space group P4mm (No. 99)
Symmetry-distinct sites (fractional):
Ca (0.0000, 0.0000, 0.0000) (multiplicity 1)  4 Ca 2.97, 4 Mo 3.24
Zr (0.0000, 0.0000, 0.4632) (multiplicity 1)  8 Zr 2.97-3.21, 4 Mo 3.11
Zr (0.5000, 0.5000, 0.6995) (multiplicity 1)  8 Zr 2.97-3.21
Mo (0.5000, 0.5000, 0.2397) (multiplicity 1)  4 Mo 2.97, 4 Zr 3.11, 4 Ca 3.24

DOS at the Fermi energy = 3.95 states/eV per cell
volume = 90.60 Å³/cell



b | First-principles (PBE-GGA) data for crystalline CaZr2Mo at its relaxed geometry, as listed in the Alexandria database.

Cell: 3.3494 3.3494 30.0396 Å, 90.00 90.00 120.00°
Closest atoms and distances in Å follow each position.
Space group R-3m (No. 166, hexagonal axes)
Symmetry-distinct sites (fractional):
Ca (0.0000, 0.0000, 0.0000) (multiplicity 3)  6 Ca 3.35, 6 Zr 3.58
Zr (0.0000, 0.0000, 0.2329) (multiplicity 6)  3 Mo 2.77
Mo (0.0000, 0.0000, 0.5000) (multiplicity 3)  6 Zr 2.77

DOS at the Fermi energy = 13.57 states/eV per cell
volume = 291.85 Å³/cell



c | First-principles (PBE-GGA) data for crystalline CaZr2Mo at its relaxed geometry, as listed in the Alexandria database.

Cell: 10.0834 2.9538 6.2037 Å, 90.00 91.98 90.00°
Closest atoms and distances in Å follow each position.
Space group Cm (No. 8)
Symmetry-distinct sites (fractional):
Ca (0.0000, 0.0000, 0.0000) (multiplicity 2)  2 Ca 2.95, 1 Mo 3.11, 1 Zr 3.14
Zr (0.2563, 0.5000, 0.3010) (multiplicity 2)  5 Zr 2.95-3.12, 2 Mo 2.98, 1 Ca 3.14
Zr (0.4971, 0.0000, 0.5223) (multiplicity 2)  3 Mo 2.82-3.14, 5 Zr 2.95-3.12
Mo (0.2487, 0.0000, 0.7173) (multiplicity 2)  5 Zr 2.82-3.14, 2 Mo 2.95, 1 Ca 3.11

DOS at the Fermi energy = 12.44 states/eV per cell
volume = 184.66 Å³/cell



Energetically preferred structure: b | next structure: +16.4 kJ/mol of atoms



a | First-principles (PBE-GGA) data for crystalline CaZrMo2 at its relaxed geometry, as listed in the Alexandria database.

Cell: 6.7876 6.7876 6.7876 Å, 90.00 90.00 90.00°
Closest atoms and distances in Å follow each position.
Space group F-43m (No. 216)
Symmetry-distinct sites (fractional):
Ca (0.0000, 0.0000, 0.0000) (multiplicity 4)  4 Zr 2.94, 4 Mo 2.94
Zr (0.2500, 0.2500, 0.2500) (multiplicity 4)  4 Mo 2.94, 4 Ca 2.94
Mo (0.0000, 0.0000, 0.5000) (multiplicity 4)  4 Zr 2.94, 4 Mo 2.94
Mo (0.2500, 0.2500, 0.7500) (multiplicity 4)  4 Ca 2.94, 4 Mo 2.94

DOS at the Fermi energy = 22.83 states/eV per cell
volume = 312.71 Å³/cell



b | First-principles (PBE-GGA) data for crystalline CaZrMo2 at its relaxed geometry, as listed in the Alexandria database.

Cell: 3.6961 3.6961 6.6929 Å, 90.00 90.00 90.00°
Closest atoms and distances in Å follow each position.
Space group P4/mmm (No. 123)
Symmetry-distinct sites (fractional):
Ca (0.0000, 0.0000, 0.0000) (multiplicity 1)  2 Zr 3.35, 8 Mo 3.40, 4 Ca 3.70
Zr (0.0000, 0.0000, 0.5000) (multiplicity 1)  8 Mo 2.87
Mo (0.5000, 0.5000, 0.3245) (multiplicity 2)  1 Mo 2.35

DOS at the Fermi energy = 2.43 states/eV per cell
volume = 91.43 Å³/cell



Energetically preferred structure: b | next structure: +16.2 kJ/mol of atoms



a | First-principles (PBE-GGA) data for crystalline CaZrMo2 at its relaxed geometry, as listed in the Alexandria database.

Cell: 7.6166 7.6166 5.8332 Å, 90.00 90.00 90.00°
Closest atoms and distances in Å follow each position.
Space group I-42d (No. 122)
Symmetry-distinct sites (fractional):
Ca (0.0000, 0.0000, 0.0000) (multiplicity 4)  4 Mo 2.87, 2 Zr 2.92
Zr (0.0000, 0.0000, 0.5000) (multiplicity 4)  4 Mo 2.71, 2 Ca 2.92
Mo (0.2346, 0.2500, 0.6250) (multiplicity 8)  2 Zr 2.71, 2 Ca 2.87, 2 Mo 2.93

DOS at the Fermi energy = 33.39 states/eV per cell
volume = 338.40 Å³/cell



b | First-principles (PBE-GGA) data for crystalline CaZrMo2 at its relaxed geometry, as listed in the Alexandria database.

Cell: 3.0966 4.3000 6.7127 Å, 90.00 101.63 90.00°
Closest atoms and distances in Å follow each position.
Space group Pm (No. 6)
Symmetry-distinct sites (fractional):
Ca (0.0000, 0.0000, 0.0000) (multiplicity 1)  2 Ca 3.10, 5 Mo 3.11-3.45, 2 Zr 3.35
Zr (0.2548, 0.5000, 0.6594) (multiplicity 1)  3 Mo 2.67-2.80
Mo (0.5348, 0.0000, 0.4494) (multiplicity 1)  2 Mo 2.54, 2 Zr 2.80
Mo (0.7424, 0.5000, 0.2891) (multiplicity 1)  2 Mo 2.54, 1 Zr 2.67

DOS at the Fermi energy = 3.78 states/eV per cell
volume = 87.55 Å³/cell



Energetically preferred structure: b | next structure: +70.0 kJ/mol of atoms